# 1
MnSb2O4 at its PBEsol-relaxed geometry, computed with SCAN.

Structure (POSCAR):
```
MnSb2O4
1.0
8.5507 0.0000 0.0000
0.0000 8.5507 0.0000
0.0000 0.0000 6.0339
Mn Sb O
4 8 16
direct
0.0000 0.5000 0.2500
0.0000 0.5000 0.7500
0.5000 0.0000 0.2500
0.5000 0.0000 0.7500
0.1657 0.1756 0.0000
0.1756 0.8343 0.5000
0.3244 0.3343 0.5000
0.3343 0.6756 0.0000
0.6657 0.3244 0.0000
0.6756 0.6657 0.5000
0.8244 0.1657 0.5000
0.8343 0.8244 0.0000
0.0941 0.3518 0.5000
0.1482 0.4059 0.0000
0.1765 0.6765 0.2500
0.1765 0.6765 0.7500
0.3235 0.1765 0.2500
0.3235 0.1765 0.7500
0.3518 0.9059 0.0000
0.4059 0.8518 0.5000
0.5941 0.1482 0.5000
0.6482 0.0941 0.0000
0.6765 0.8235 0.2500
0.6765 0.8235 0.7500
0.8235 0.3235 0.2500
0.8235 0.3235 0.7500
0.8518 0.5941 0.0000
0.9059 0.6482 0.5000
```

E   -515.1 eV for the cell shown
ΔE_f (raw)   -1.58 eV per atom
Calculated volume   110.29 Å³/f.u.
Size of the total moment   5.00 μB per formula unit

# 2
MnSbO4 at its PBEsol-relaxed geometry, computed with SCAN.

Structure (POSCAR):
```
MnSbO4
1.0
4.9319 0.0000 0.0000
0.0000 2.9823 0.0000
-2.3257 0.0000 5.0759
Mn Sb O
1 1 4
direct
0.0000 0.0000 0.0000
0.5000 0.5000 0.5000
0.0648 0.5000 0.2386
0.4600 0.0000 0.7213
0.5400 0.0000 0.2787
0.9352 0.5000 0.7614
```

E   -90.5 eV for the cell shown
ΔE_f (raw)   -1.67 eV per atom
Calculated volume   74.66 Å³/f.u.
Size of the total moment   4.00 μB per formula unit

# 3
MnSbO4 at its PBEsol-relaxed geometry, computed with SCAN.

Structure (POSCAR):
```
MnSbO4
1.0
2.7901 -4.7751 0.0000
2.7901 4.7751 0.0000
0.0000 0.0000 5.5816
Mn Sb O
2 2 8
direct
0.2383 0.7617 0.7500
0.7617 0.2383 0.2500
0.2565 0.2565 0.0000
0.7435 0.7435 0.5000
0.0355 0.9645 0.7500
0.0418 0.4532 0.0172
0.4505 0.5495 0.7500
0.4532 0.0418 0.9828
0.5468 0.9582 0.4828
0.5495 0.4505 0.2500
0.9582 0.5468 0.5172
0.9645 0.0355 0.2500
```

E   -181.8 eV for the cell shown
ΔE_f (raw)   -1.74 eV per atom
Calculated volume   74.36 Å³/f.u.
Size of the total moment   4.00 μB per formula unit

# 4
Mn2SbO at its PBEsol-relaxed geometry, computed with SCAN.

Structure (POSCAR):
```
Mn2SbO
1.0
0.0000 3.0106 3.0106
3.0106 0.0000 3.0106
3.0106 3.0106 0.0000
Mn Sb O
2 1 1
direct
0.2500 0.2500 0.2500
0.7500 0.7500 0.7500
0.0000 0.0000 0.0000
0.5000 0.5000 0.5000
```

E   -80.2 eV for the cell shown
ΔE_f (raw)   -0.06 eV per atom
Calculated volume   54.58 Å³/f.u.
Size of the total moment   6.51 μB per formula unit

# 5
MnSbO4 at its PBEsol-relaxed geometry, computed with SCAN.

Structure (POSCAR):
```
MnSbO4
1.0
-1.9637 1.9637 4.7892
1.9637 -1.9637 4.7892
1.9637 1.9637 -4.7892
Mn Sb O
1 1 4
direct
0.0000 0.0000 0.0000
0.2500 0.7500 0.5000
0.0432 0.5432 0.5000
0.2082 0.2082 0.0000
0.4568 0.9568 0.5000
0.7918 0.7918 0.0000
```

E   -90.8 eV for the cell shown
ΔE_f (raw)   -1.72 eV per atom
Calculated volume   73.87 Å³/f.u.
Size of the total moment   4.00 μB per formula unit

# 6
Mn3SbO at its PBEsol-relaxed geometry, computed with SCAN.

Structure (POSCAR):
```
Mn3SbO
1.0
3.9237 0.0000 0.0000
0.0000 3.9237 0.0000
0.0000 0.0000 3.9237
Mn Sb O
3 1 1
direct
0.0000 0.0000 0.5000
0.0000 0.5000 0.0000
0.5000 0.0000 0.0000
0.5000 0.5000 0.5000
0.0000 0.0000 0.0000
```

E   -100.2 eV for the cell shown
ΔE_f (raw)   -0.39 eV per atom
Calculated volume   60.41 Å³/f.u.
Size of the total moment   8.40 μB per formula unit

# 7
MnSb4O12 at its PBEsol-relaxed geometry, computed with SCAN.

Structure (POSCAR):
```
MnSb4O12
1.0
4.9973 0.0000 0.0000
-0.0820 5.4419 0.0000
-0.0966 -0.7688 7.4075
Mn Sb O
1 4 12
direct
0.0000 0.0000 0.0000
0.0009 0.3888 0.3207
0.4939 0.8568 0.7832
0.5079 0.8636 0.3090
0.9886 0.3902 0.7900
0.1601 0.3809 0.5624
0.1693 0.7063 0.8945
0.1705 0.0470 0.2225
0.2856 0.1600 0.8876
0.3174 0.5524 0.2285
0.3459 0.8870 0.5497
0.6474 0.5291 0.7360
0.6658 0.8584 0.0443
0.6841 0.1877 0.3724
0.8265 0.6985 0.3811
0.8394 0.0361 0.7662
0.8814 0.3221 0.0480
```

E   -267.3 eV for the cell shown
ΔE_f (raw)   -1.49 eV per atom
Calculated volume   201.45 Å³/f.u.
Size of the total moment   2.96 μB per formula unit

# 8
Sr2Mn3Sb2O2 at its PBEsol-relaxed geometry, computed with SCAN.

Structure (POSCAR):
```
Sr2Mn3Sb2O2
1.0
-2.0076 2.0076 9.8168
2.0076 -2.0076 9.8168
2.0076 2.0076 -9.8168
Sr Mn Sb O
2 3 2 2
direct
0.0845 0.0845 0.0000
0.9155 0.9155 0.0000
0.2500 0.7500 0.5000
0.5000 0.5000 0.0000
0.7500 0.2500 0.5000
0.3315 0.3315 0.0000
0.6685 0.6685 0.0000
0.0000 0.5000 0.5000
0.5000 0.0000 0.5000
```

E   -198.7 eV for the cell shown
ΔE_f (raw)   -1.38 eV per atom
Calculated volume   158.27 Å³/f.u.
Size of the total moment   11.65 μB per formula unit